{"formula": "K3Rb3CrF8", "functional": "PBE with a Hubbard U", "state": "optimized geometry", "lattice": [[6.659, -3.807, 0.000], [6.659, 3.807, 0.000], [-4.396, 0.000, 6.422]], "species": ["K", "K", "K", "Rb", "Rb", "Rb", "Cr", "F", "F", "F", "F", "F", "F", "F", "F"], "frac_coords": [[0.000, 0.000, 0.000], [0.000, 0.500, 0.000], [0.500, 0.000, 0.000], [0.000, 0.500, 0.500], [0.500, 0.000, 0.500], [0.500, 0.500, 0.500], [0.500, 0.500, 0.000], [0.244, 0.244, 0.235], [0.271, 0.271, 0.781], [0.303, 0.690, 0.183], [0.310, 0.697, 0.817], [0.690, 0.303, 0.183], [0.697, 0.310, 0.817], [0.729, 0.729, 0.219], [0.756, 0.756, 0.765]], "energy_ev_per_atom": -4.5967}